(1)
Here is a PBEsol-optimized structure of Sc3Se from Alexandria. Energies are from SCAN.

Properties
uncorrected energy = -0.59134 Ha/atom
uncorrected formation energy = -1.6 eV/f.u.
E above lowest polymorph = 0.4786 eV/atom

Cell lengths 3.3172, 5.5069, 5.5069 Å; angles 116.07, 101.58, 101.58 degrees
With the nearest neighbours (Å) after each atom.
Element x y z (fractional)
Sc: 0.0000 0.5000 0.0000  4 Sc 2.92, 2 Se 2.92
Sc: 0.0000 0.0000 0.5000  2 Se 2.92, 4 Sc 2.92
Sc: 0.5000 0.5000 0.5000  4 Sc 2.92, 2 Se 2.92
Se: 0.5000 0.0000 0.0000  6 Sc 2.92

---

(2)
Here is a PBEsol-optimized structure of NbAuSN2 from Alexandria. Energies are from SCAN.

Properties
uncorrected energy = -0.90367 Ha/atom
uncorrected formation energy = 7.5 eV/f.u.

Cell lengths 3.9431, 3.9431, 4.6756 Å; angles 90.00, 90.00, 90.00 degrees
With the nearest neighbours (Å) after each atom.
Element x y z (fractional)
Nb: 0.5000 0.5000 0.5000  4 S 2.79, 8 N 3.06
Au: 0.0000 0.0000 0.0000  4 N 1.97
S: 0.0000 0.0000 0.5000  2 Au 2.34
N: 0.0000 0.5000 0.0000  2 Au 1.97
N: 0.5000 0.0000 0.0000  2 Au 1.97

---

(3)
Here is a PBEsol-optimized structure of Cd3SiRh from Alexandria. Energies are from SCAN.

Properties
uncorrected energy = -0.96524 Ha/atom
uncorrected formation energy = 3.7 eV/f.u.

Cell lengths 4.9997, 4.9997, 4.9997 Å; angles 90.00, 90.00, 90.00 degrees
With the nearest neighbours (Å) after each atom.
Element x y z (fractional)
Si: 0.5000 0.5000 0.5000  12 Cd 3.54
Rh: 0.0000 0.0000 0.0000  6 Cd 2.50
Cd: 0.0000 0.5000 0.0000  2 Rh 2.50
Cd: 0.0000 0.0000 0.5000  2 Rh 2.50
Cd: 0.5000 0.0000 0.0000  2 Rh 2.50

---

(4)
Here is a PBEsol-optimized structure of LiCr2Ni from Alexandria. Energies are from SCAN.

Properties
calculated formation energy = 111 kJ/mol of formula units
uncorrected energy = -0.49779 Ha/atom
E above lowest polymorph = 0.0000 eV/atom

Cell lengths 2.7978, 4.2008, 4.5749 Å; angles 117.33, 107.77, 90.00 degrees
With the nearest neighbours (Å) after each atom.
Element x y z (fractional)
Cr: 0.0184 0.0186 0.0371  2 Cr 2.10
Cr: 0.7242 0.2240 0.4480  2 Cr 2.10
Li: 0.5000 0.5000 0.9999  2 Ni 2.41, 6 Cr 2.53
Ni: 0.2574 0.7574 0.5150  2 Li 2.41, 6 Cr 2.43-2.54

---

(5)
Here is a PBEsol-optimized structure of Ti3TlSi2P6O25 from Alexandria. Energies are from SCAN.

Properties
uncorrected energy = -0.45641 Ha/atom
uncorrected formation energy = -100.9 eV/f.u.

Cell lengths 8.3320, 8.3320, 17.2234 Å; angles 90.00, 90.00, 120.00 degrees
With the nearest neighbours (Å) after each atom.
Element x y z (fractional)
Ti: 0.6667 0.3333 0.2500  6 O 1.94
Ti: 0.3333 0.6667 0.7500  6 O 1.94
Ti: 0.3333 0.6667 0.4762  6 O 1.97-1.98
Ti: 0.6667 0.3333 0.5238  6 O 1.97-1.98
Ti: 0.3333 0.6667 0.0238  6 O 1.97-1.98
Ti: 0.6667 0.3333 0.9762  6 O 1.97-1.98
Tl: 0.3333 0.6667 0.2500  6 O 3.13
Tl: 0.6667 0.3333 0.7500  6 O 3.13
Si: 0.0000 0.0000 0.4075  4 O 1.59-1.62
Si: 0.0000 0.0000 0.5925  4 O 1.59-1.62
Si: 0.0000 0.0000 0.0925  4 O 1.59-1.62
Si: 0.0000 0.0000 0.9075  4 O 1.59-1.62
P: 0.6671 0.0508 0.3904  4 O 1.52-1.59
P: 0.3329 0.9492 0.6096  4 O 1.52-1.59
P: 0.3837 0.3329 0.3904  4 O 1.52-1.59
P: 0.6671 0.6163 0.1096  4 O 1.52-1.59
P: 0.6163 0.6671 0.6096  4 O 1.52-1.59
P: 0.3329 0.3837 0.8904  4 O 1.52-1.59
P: 0.9492 0.6163 0.3904  4 O 1.52-1.59
P: 0.3837 0.0508 0.1096  4 O 1.52-1.59
P: 0.0508 0.3837 0.6096  4 O 1.52-1.59
P: 0.6163 0.9492 0.8904  4 O 1.52-1.59
P: 0.9492 0.3329 0.1096  4 O 1.52-1.59
P: 0.0508 0.6671 0.8904  4 O 1.52-1.59
O: 0.1710 0.1914 0.3739  1 P 1.59, 1 Si 1.62
O: 0.8290 0.8086 0.6261  1 P 1.59, 1 Si 1.62
O: 0.0203 0.8290 0.3739  1 P 1.59, 1 Si 1.62
O: 0.1710 0.9797 0.1261  1 P 1.59, 1 Si 1.62
O: 0.9797 0.1710 0.6261  1 P 1.59, 1 Si 1.62
O: 0.8290 0.0203 0.8739  1 P 1.59, 1 Si 1.62
O: 0.8086 0.9797 0.3739  1 P 1.59, 1 Si 1.62
O: 0.0203 0.1914 0.1261  1 P 1.59, 1 Si 1.62
O: 0.1914 0.0203 0.6261  1 P 1.59, 1 Si 1.62
O: 0.9797 0.8086 0.8739  1 P 1.59, 1 Si 1.62
O: 0.8086 0.8290 0.1261  1 P 1.59, 1 Si 1.62
O: 0.1914 0.1710 0.8739  1 P 1.59, 1 Si 1.62
O: 0.6556 0.1362 0.3141  1 P 1.52
O: 0.3444 0.8638 0.6859  1 P 1.52
O: 0.4806 0.3444 0.3141  1 P 1.52
O: 0.6556 0.5194 0.1859  1 P 1.52
O: 0.5194 0.6556 0.6859  1 P 1.52
O: 0.3444 0.4806 0.8141  1 P 1.52
O: 0.8638 0.5194 0.3141  1 P 1.52
O: 0.4806 0.1362 0.1859  1 P 1.52
O: 0.1362 0.4806 0.6859  1 P 1.52
O: 0.5194 0.8638 0.8141  1 P 1.52
O: 0.8638 0.3444 0.1859  1 P 1.52
O: 0.1362 0.6556 0.8141  1 P 1.52
O: 0.3979 0.5195 0.4073  1 P 1.53
O: 0.6021 0.4805 0.5927  1 P 1.53
O: 0.1215 0.6021 0.4073  1 P 1.53
O: 0.3979 0.8785 0.0927  1 P 1.53
O: 0.8785 0.3979 0.5927  1 P 1.53
O: 0.6021 0.1215 0.9073  1 P 1.53
O: 0.4805 0.8785 0.4073  1 P 1.53
O: 0.1215 0.5195 0.0927  1 P 1.53
O: 0.5195 0.1215 0.5927  1 P 1.53
O: 0.8785 0.4805 0.9073  1 P 1.53
O: 0.4805 0.6021 0.0927  1 P 1.53
O: 0.5195 0.3979 0.9073  1 P 1.53
O: 0.7417 0.1877 0.4580  1 P 1.53
O: 0.2583 0.8123 0.5420  1 P 1.53
O: 0.4460 0.2583 0.4580  1 P 1.53
O: 0.7417 0.5540 0.0420  1 P 1.53
O: 0.5540 0.7417 0.5420  1 P 1.53
O: 0.2583 0.4460 0.9580  1 P 1.53
O: 0.8123 0.5540 0.4580  1 P 1.53
O: 0.4460 0.1877 0.0420  1 P 1.53
O: 0.1877 0.4460 0.5420  1 P 1.53
O: 0.5540 0.8123 0.9580  1 P 1.53
O: 0.8123 0.2583 0.0420  1 P 1.53
O: 0.1877 0.7417 0.9580  1 P 1.53
O: 0.0000 0.0000 0.5000  2 Si 1.59
O: 0.0000 0.0000 0.0000  2 Si 1.59

---

(6)
Here is a PBEsol-optimized structure of Ca2ScMo from Alexandria. Energies are from SCAN.

Properties
calculated formation energy = 261 kJ/mol of formula units
uncorrected energy = -0.60399 Ha/atom
E above lowest polymorph = 0.0000 eV/atom

Cell lengths 5.1198, 5.1198, 5.1198 Å; angles 60.00, 60.00, 60.00 degrees
With the nearest neighbours (Å) after each atom.
Element x y z (fractional)
Sc: 0.2500 0.2500 0.2500  4 Mo 3.14, 4 Ca 3.14
Mo: 0.5000 0.5000 0.5000  4 Ca 3.14, 4 Sc 3.14
Ca: 0.0000 0.0000 0.0000  4 Ca 3.14, 4 Sc 3.14
Ca: 0.7500 0.7500 0.7500  4 Ca 3.14, 4 Mo 3.14

---

(7)
Here is a PBEsol-optimized structure of InFeBi2As from Alexandria. Energies are from SCAN.

Properties
calculated formation energy = 273 kJ/mol of formula units
uncorrected energy = -1.66132 Ha/atom

Cell lengths 4.3486, 5.6630, 5.6630 Å; angles 90.00, 90.00, 90.00 degrees
With the nearest neighbours (Å) after each atom.
Element x y z (fractional)
Fe: 0.5000 0.0000 0.0000  2 As 2.17
As: 0.0000 0.0000 0.0000  2 Fe 2.17
Bi: 0.0000 0.0000 0.5000  2 As 2.83
Bi: 0.0000 0.5000 0.0000  2 As 2.83
In: 0.5000 0.5000 0.5000  8 Bi 3.57

---

(8)
Here is a PBEsol-optimized structure of KTl2Te from Alexandria. Energies are from SCAN.

Properties
uncorrected energy = -1.76600 Ha/atom
uncorrected formation energy = -1.9 eV/f.u.
E above lowest polymorph = 0.0000 eV/atom

Cell lengths 4.8178, 4.8178, 5.3226 Å; angles 90.00, 90.00, 90.00 degrees
With the nearest neighbours (Å) after each atom.
Element x y z (fractional)
Tl: 0.0000 0.5000 0.0000  4 Tl 3.41, 4 K 3.59, 4 Te 3.59
Tl: 0.5000 0.0000 0.0000  4 Tl 3.41, 4 K 3.59, 4 Te 3.59
Te: 0.0000 0.0000 0.5000  4 K 3.41, 8 Tl 3.59
K: 0.5000 0.5000 0.5000  4 Te 3.41, 8 Tl 3.59

---

(9)
Here is a PBEsol-optimized structure of KNaSCl2 from Alexandria. Energies are from SCAN.

Properties
uncorrected energy = -0.30281 Ha/atom
uncorrected formation energy = -3.1 eV/f.u.

Cell lengths 5.6175, 5.7419, 5.7419 Å; angles 90.00, 90.00, 90.00 degrees
With the nearest neighbours (Å) after each atom.
Element x y z (fractional)
Na: 0.5000 0.5000 0.5000  8 Cl 4.02, 4 S 4.06
K: 0.0000 0.0000 0.0000  2 S 2.81, 4 Cl 2.87
S: 0.5000 0.0000 0.0000  2 K 2.81
Cl: 0.0000 0.0000 0.5000  2 K 2.87
Cl: 0.0000 0.5000 0.0000  2 K 2.87

---

(10)
Here is a PBEsol-optimized structure of CrSi2Hg from Alexandria. Energies are from SCAN.

Properties
uncorrected energy = -0.96218 Ha/atom
uncorrected formation energy = 1.9 eV/f.u.

Cell lengths 3.7251, 4.0943, 4.0943 Å; angles 90.00, 90.00, 90.00 degrees
With the nearest neighbours (Å) after each atom.
Element x y z (fractional)
Cr: 0.5000 0.5000 0.5000  8 Si 2.77, 4 Hg 2.90
Hg: 0.5000 0.0000 0.0000  8 Si 2.77, 4 Cr 2.90
Si: 0.0000 0.0000 0.5000  4 Cr 2.77, 4 Hg 2.77, 4 Si 2.90
Si: 0.0000 0.5000 0.0000  4 Cr 2.77, 4 Hg 2.77, 4 Si 2.90

---

(11)
Here is a PBEsol-optimized structure of CdAgCl3 from Alexandria. Energies are from SCAN.

Properties
uncorrected energy = -0.64390 Ha/atom
uncorrected formation energy = -1.9 eV/f.u.

Cell lengths 4.9219, 4.9219, 4.9219 Å; angles 90.00, 90.00, 90.00 degrees
With the nearest neighbours (Å) after each atom.
Element x y z (fractional)
Cl: 0.0000 0.5000 0.0000  2 Ag 2.46
Cl: 0.0000 0.0000 0.5000  2 Ag 2.46
Cl: 0.5000 0.0000 0.0000  2 Ag 2.46
Ag: 0.0000 0.0000 0.0000  6 Cl 2.46
Cd: 0.5000 0.5000 0.5000  12 Cl 3.48

---

Please write out number 4 again, unchanged.
Here is a PBEsol-optimized structure of LiCr2Ni from Alexandria. Energies are from SCAN.

Properties
calculated formation energy = 111 kJ/mol of formula units
uncorrected energy = -0.49779 Ha/atom
E above lowest polymorph = 0.0000 eV/atom

Cell lengths 2.7978, 4.2008, 4.5749 Å; angles 117.33, 107.77, 90.00 degrees
With the nearest neighbours (Å) after each atom.
Element x y z (fractional)
Cr: 0.0184 0.0186 0.0371  2 Cr 2.10
Cr: 0.7242 0.2240 0.4480  2 Cr 2.10
Li: 0.5000 0.5000 0.9999  2 Ni 2.41, 6 Cr 2.53
Ni: 0.2574 0.7574 0.5150  2 Li 2.41, 6 Cr 2.43-2.54

---

Q: Among the records above, which one has the highest uncorrected energy?
A: KNaSCl2